# 1
Below is Sb5Pb after structural relaxation, with properties calculated at the PBE level.

Unit cell a=8.8607 b=8.8607 c=4.1461 alpha=90.00 beta=90.00 gamma=145.86
Positions (direct):
Sb1 0.7621 0.2379 0.5000
Sb2 0.6323 0.3677 0.0000
Sb3 0.4548 0.5452 0.5000
Sb4 0.3328 0.6672 0.0000
Sb5 0.1578 0.8422 0.5000
Pb1 0.9935 0.0065 0.0000

Values from the calculation:
- Formation energy without anion corrections: 0.154 eV per atom



# 2
Below is Th2Tl3CuSe6 after structural relaxation, with properties calculated at the PBE level.

Unit cell a=7.5569 b=7.5569 c=8.0721 alpha=97.53 beta=97.53 gamma=123.63
Positions (direct):
Th1 0.3345 0.6655 0.0000
Th2 0.6655 0.3345 0.0000
Tl1 0.1533 0.8467 0.5000
Tl2 0.8467 0.1533 0.5000
Tl3 0.5000 0.5000 0.5000
Cu1 0.0000 0.0000 0.0000
Se1 0.9323 0.5570 0.7727
Se2 0.7627 0.7627 0.1644
Se3 0.0677 0.4430 0.2273
Se4 0.5570 0.9323 0.7727
Se5 0.2373 0.2373 0.8356
Se6 0.4430 0.0677 0.2273

Values from the calculation:
- Formation energy without anion corrections: -0.995 eV per atom



# 3
Below is CrCuMo2 after structural relaxation, with properties calculated at the PBE level.

Unit cell a=4.6100 b=4.6100 c=2.7631 alpha=90.00 beta=90.00 gamma=108.47
Positions (direct):
Cr1 0.5000 0.0000 0.5000
Cu1 0.0000 0.5000 0.5000
Mo1 0.0000 0.0000 0.0000
Mo2 0.5000 0.5000 0.0000

Values from the calculation:
- ΔE_f: 1.2 eV/f.u.



# 4
Below is ScSiMo2 after structural relaxation, with properties calculated at the PBE level.

Unit cell a=4.6001 b=2.8953 c=4.9829 alpha=84.06 beta=90.00 gamma=90.00
Positions (direct):
Mo1 0.0000 0.9300 0.0052
Mo2 0.0000 0.5700 0.4948
Sc1 0.5000 0.2500 0.2500
Si1 0.5000 0.7500 0.7500

Values from the calculation:
- Formation energy without anion corrections: -0.017 eV per atom



# 5
Below is ZnAg2RuBr after structural relaxation, with properties calculated at the PBE level.

Unit cell a=5.3044 b=4.5977 c=5.3044 alpha=90.00 beta=90.00 gamma=90.00
Positions (direct):
Ru1 0.0000 0.0000 0.0000
Zn1 0.5000 0.5000 0.5000
Br1 0.0000 0.5000 0.0000
Ag1 0.0000 0.0000 0.5000
Ag2 0.5000 0.0000 0.0000

Values from the calculation:
- Formation energy without anion corrections: 0.813 eV per atom



# 6
Below is RbRhSe2 after structural relaxation, with properties calculated at the PBE level.

Unit cell a=3.9303 b=3.9303 c=7.9939 alpha=90.00 beta=90.00 gamma=120.00
Positions (direct):
Rh1 0.0000 0.0000 0.0058
Se1 0.3333 0.6667 0.8564
Se2 0.6667 0.3333 0.1506
Rb1 0.3333 0.6667 0.4422

Values from the calculation:
- Formation energy without anion corrections: -0.598 eV per atom



# 7
Below is ZrHgMo3 after structural relaxation, with properties calculated at the PBE level.

Unit cell a=4.8266 b=4.8266 c=4.8266 alpha=90.00 beta=90.00 gamma=90.00
Positions (direct):
Mo1 0.0000 0.5000 0.0000
Mo2 0.0000 0.0000 0.5000
Mo3 0.5000 0.0000 0.0000
Hg1 0.5000 0.5000 0.5000
Zr1 0.0000 0.0000 0.0000

Values from the calculation:
- ΔE_f: 9.8 eV/f.u.



# 8
Below is KSb after structural relaxation, with properties calculated at the PBE level.

Unit cell a=3.6428 b=3.6428 c=11.5873 alpha=90.00 beta=90.00 gamma=120.00
Positions (direct):
K1 0.0000 0.0000 0.0000
K2 0.0000 0.0000 0.5000
Sb1 0.3333 0.6667 0.2500
Sb2 0.6667 0.3333 0.7500

Values from the calculation:
- Formation energy without anion corrections: -0.128 eV per atom



Values of M_tot, in order: 0.00; 0.00; 0.00; 0.00; 0.52; 0.00; 0.00; 0.00, all in μB per formula unit.
Values of calculated total energy, in order: -23.4; -58.9; -34.2; -33.5; -13.9; -17.7; -31.5; -11.0, all in eV per cell.